No. 1
DFT (PBE) results for crystalline Nd2GdAl3NiAg2 at its relaxed geometry.

The crystal system is orthorhombic. Its total DFT energy (no corrections) is -81.3 eV/cell.

It has space group Amm2 (No. 38), with a = 4.2017 Å, b = 12.6970 Å, c = 7.2868 Å, α = 90.00°, β = 90.00° and γ = 90.00°. The inequivalent atoms are Nd at (0.0000, 0.1992, 0.0000), Gd at (0.0000, 0.0000, 0.5946), Al at (0.5000, 0.0000, 0.9810), Al at (0.5000, 0.1090, 0.3105), Ni at (0.0000, 0.0000, 0.2052) and Ag at (0.5000, 0.1624, 0.6970).

=====

No. 2
DFT (PBE) results for crystalline YAl2Ni at its relaxed geometry.

The crystal system is cubic. Its total DFT energy (no corrections) is -83.7 eV/cell.

It has space group F-43m (No. 216), with a = 6.4966 Å, b = 6.4966 Å, c = 6.4966 Å, α = 90.00°, β = 90.00° and γ = 90.00°. The inequivalent atoms are Y at (0.0000, 0.0000, 0.0000), Al at (0.0000, 0.0000, 0.5000), Al at (0.2500, 0.2500, 0.2500) and Ni at (0.2500, 0.2500, 0.7500).

=====

No. 3
DFT (PBE) results for crystalline SmSiHO4 at its relaxed geometry.

The crystal system is trigonal. Its total DFT energy (no corrections) is -929.4 eV/cell. As for the energy above the most stable polymorph in this dataset: 54.2 kJ/mol of formula units.

It has space group R-3 (No. 148, hexagonal axes), with a = 15.5270 Å, b = 15.5270 Å, c = 7.8106 Å, α = 90.00°, β = 90.00° and γ = 120.00°. The inequivalent atoms are Sm at (0.0187, 0.7762, 0.3425), Si at (0.0698, 0.4897, 0.7282), H at (0.0220, 0.8751, 0.8125), O at (0.0131, 0.3702, 0.7576), O at (0.0130, 0.4836, 0.1890), O at (0.0505, 0.1736, 0.2141) and O at (0.0793, 0.2187, 0.8737).

=====

No. 4
DFT (PBE) results for crystalline ZrPaW at its relaxed geometry.

The crystal system is cubic. Its total DFT energy (no corrections) is -109.9 eV/cell. For the formation energy, the calculation gives 1.180 eV/atom. As for the energy above the most stable polymorph in this dataset: 211.1 kJ/mol of formula units.

It has space group F-43m (No. 216), with a = 6.5681 Å, b = 6.5681 Å, c = 6.5681 Å, α = 90.00°, β = 90.00° and γ = 90.00°. The inequivalent atoms are Zr at (0.0000, 0.0000, 0.0000), Pa at (0.2500, 0.2500, 0.7500) and W at (0.0000, 0.0000, 0.5000).

=====

No. 5
DFT (PBE) results for crystalline Y2PtO4 at its relaxed geometry.

The crystal system is cubic. Its total DFT energy (no corrections) is -429.2 eV/cell.

It has space group Fd-3m (No. 227, origin choice 2), with a = 9.4949 Å, b = 9.4949 Å, c = 9.4949 Å, α = 90.00°, β = 90.00° and γ = 90.00°. The inequivalent atoms are Y at (0.0000, 0.0000, 0.0000), Pt at (0.1250, 0.1250, 0.6250) and O at (0.0115, 0.0115, 0.2385).

=====

No. 6
DFT (PBE) results for crystalline SbAu at its relaxed geometry.

The crystal system is cubic. Its total DFT energy (no corrections) is -28.6 eV/cell.

It has space group F-43m (No. 216), with a = 6.1855 Å, b = 6.1855 Å, c = 6.1855 Å, α = 90.00°, β = 90.00° and γ = 90.00°. The inequivalent atoms are Sb at (0.0000, 0.0000, 0.0000) and Au at (0.2500, 0.2500, 0.2500).

=====

No. 7
DFT (PBE) results for crystalline HfScInFe at its relaxed geometry.

The crystal system is cubic. Its total DFT energy (no corrections) is -110.2 eV/cell. As for the energy above the most stable polymorph in this dataset: 0.0 kJ/mol of formula units.

It has space group F-43m (No. 216), with a = 6.5727 Å, b = 6.5727 Å, c = 6.5727 Å, α = 90.00°, β = 90.00° and γ = 90.00°. The inequivalent atoms are Hf at (0.0000, 0.0000, 0.0000), Sc at (0.2500, 0.2500, 0.2500), In at (0.0000, 0.0000, 0.5000) and Fe at (0.2500, 0.2500, 0.7500).

=====

No. 8
DFT (PBE) results for crystalline Ho2AlSiIr at its relaxed geometry.

The crystal system is orthorhombic. Its total DFT energy (no corrections) is -62.3 eV/cell.

It has space group Imm2 (No. 44), with a = 4.0954 Å, b = 8.6694 Å, c = 5.6921 Å, α = 90.00°, β = 90.00° and γ = 90.00°. The inequivalent atoms are Ho at (0.0000, 0.2039, 0.0000), Al at (0.0000, 0.0000, 0.5038), Si at (0.0000, 0.5000, 0.7240) and Ir at (0.0000, 0.5000, 0.2857).

=====

No. 9
DFT (PBE) results for crystalline FeB3 at its relaxed geometry.

The crystal system is tetragonal. Its total DFT energy (no corrections) is -54.0 eV/cell. As for the energy above the most stable polymorph in this dataset: 8.8 kJ/mol of formula units.

It has space group I4/mmm (No. 139), with a = 2.9229 Å, b = 2.9229 Å, c = 6.3316 Å, α = 90.00°, β = 90.00° and γ = 90.00°. The inequivalent atoms are Fe at (0.0000, 0.0000, 0.0000), B at (0.0000, 0.0000, 0.5000) and B at (0.0000, 0.5000, 0.2500).

=====

No. 10
DFT (PBE) results for crystalline KInPdSe3 at its relaxed geometry.

The crystal system is orthorhombic. Its total DFT energy (no corrections) is -92.2 eV/cell. As for the energy above the most stable polymorph in this dataset: 1.8 kJ/mol of formula units.

It has space group Pnma (No. 62), with a = 14.3029 Å, b = 4.3315 Å, c = 11.5628 Å, α = 90.00°, β = 90.00° and γ = 90.00°. The inequivalent atoms are K at (0.2226, 0.2500, 0.0492), In at (0.0230, 0.2500, 0.3641), Pd at (0.0220, 0.7500, 0.0765), Se at (0.0508, 0.7500, 0.8633), Se at (0.1034, 0.2500, 0.5718) and Se at (0.1173, 0.7500, 0.2554).

=====

No. 11
DFT (PBE) results for crystalline LuZnSn2 at its relaxed geometry.

The crystal system is cubic. Its total DFT energy (no corrections) is -56.7 eV/cell. As for the energy above the most stable polymorph in this dataset: 109.5 kJ/mol of formula units.

It has space group F-43m (No. 216), with a = 7.3220 Å, b = 7.3220 Å, c = 7.3220 Å, α = 90.00°, β = 90.00° and γ = 90.00°. The inequivalent atoms are Lu at (0.0000, 0.0000, 0.0000), Zn at (0.2500, 0.2500, 0.7500), Sn at (0.0000, 0.0000, 0.5000) and Sn at (0.2500, 0.2500, 0.2500).

=====

No. 12
DFT (PBE) results for crystalline ZrPd4 at its relaxed geometry.

The crystal system is orthorhombic. Its total DFT energy (no corrections) is -129.7 eV/cell. For the formation energy, the calculation gives -0.635 eV/atom.

It has space group Pnma (No. 62), with a = 4.9658 Å, b = 4.5694 Å, c = 14.2819 Å, α = 90.00°, β = 90.00° and γ = 90.00°. The inequivalent atoms are Zr at (0.1604, 0.2500, 0.1012), Pd at (0.1629, 0.2500, 0.3020), Pd at (0.1648, 0.2500, 0.7023), Pd at (0.1687, 0.2500, 0.5010) and Pd at (0.1776, 0.2500, 0.8997).

=====

What is the total DFT energy (no corrections) in the sixth record?
-28.6 eV/cell

=====

What is the formula in the second record?
YAl2Ni

=====

What is the total DFT energy (no corrections) in the eighth record?
-62.3 eV/cell